Here is a PBEsol-optimized structure of LaSiCl2 from Alexandria. Energies are from meta-GGA SCAN.

```
LaSiCl2
1.0
3.3566 0.0000 0.0000
0.0000 3.3566 0.0000
0.0000 0.0000 9.9855
La Si Cl
1 1 2
Cartesian
0.0000 0.0000 0.0000
0.0000 0.0000 4.9928
1.6783 1.6783 1.6588
1.6783 1.6783 8.3267
```

offset from the most stable computed form	207	meV/atom
space group	P4/mmm, No. 123
formation energy without anion corrections	-0.927	eV/atom
energy	-18.196	eV per atom
crystal system	tetragonal

Here is a PBEsol-optimized structure of LaSiCl2 from Alexandria. Energies are from meta-GGA SCAN.

```
LaSiCl2
1.0
-2.0323 2.0323 5.2103
2.0323 -2.0323 5.2103
2.0323 2.0323 -5.2103
La Si Cl
1 1 2
Cartesian
0.0000 0.0000 0.0000
0.0000 2.0323 2.6052
2.0323 0.0000 2.6052
0.0000 0.0000 5.2103
```

offset from the most stable computed form	109	meV/atom
space group	I-4m2, No. 119
formation energy without anion corrections	-1.024	eV/atom
energy	-18.293	eV per atom
crystal system	tetragonal

Here is a PBEsol-optimized structure of LaSiCl2 from Alexandria. Energies are from meta-GGA SCAN.

```
LaSiCl2
1.0
3.6718 0.0000 0.0000
0.0000 4.5870 0.0000
0.0000 0.0000 5.6467
La Si Cl
1 1 2
Cartesian
0.0000 0.0000 0.0000
1.8359 2.2935 1.0074
0.0000 0.0000 2.7928
1.8359 2.2935 4.3455
```

offset from the most stable computed form	0	meV/atom
space group	Pmm2, No. 25
formation energy without anion corrections	-1.133	eV/atom
energy	-18.403	eV per atom
crystal system	orthorhombic

Here is a PBEsol-optimized structure of LaSiCl2 from Alexandria. Energies are from meta-GGA SCAN.

```
LaSiCl2
1.0
-2.2757 2.2757 9.4571
2.2757 -2.2757 9.4571
2.2757 2.2757 -9.4571
La Si Cl
2 2 4
Cartesian
0.0000 0.0000 0.0000
0.0000 2.2757 4.7286
2.2757 0.0000 4.7286
0.0000 0.0000 9.4571
1.1379 -1.1241 7.0929
1.1517 1.1379 2.3643
1.1379 3.3998 -2.3643
1.1241 1.1379 11.8214
```

offset from the most stable computed form	69	meV/atom
space group	I-42d, No. 122
formation energy without anion corrections	-1.064	eV/atom
energy	-18.333	eV per atom
crystal system	tetragonal

Here is a PBEsol-optimized structure of La3SiCl3 from Alexandria. Energies are from meta-GGA SCAN.

```
La3SiCl3
1.0
-5.8947 5.8947 5.8947
5.8947 -5.8947 5.8947
5.8947 5.8947 -5.8947
La Si Cl
12 4 12
Cartesian
1.5241 1.4737 -1.4232
7.3179 1.5241 -1.4737
1.4737 -1.4232 1.5241
4.4715 4.3705 -1.4737
4.3705 1.4737 1.4232
-1.4232 1.5241 1.4737
4.3705 -1.4737 4.4715
1.4737 1.4232 4.3705
1.4232 4.3705 1.4737
1.5241 -1.4737 7.3179
-1.4737 7.3179 1.5241
-1.4737 4.4715 4.3705
4.4210 1.4737 -1.4737
1.4737 1.4737 1.4737
1.4737 -1.4737 4.4210
-1.4737 4.4210 1.4737
7.3683 1.4655 1.4818
7.3683 -1.4655 4.4128
4.4128 7.3683 -1.4655
4.4210 4.4292 1.4818
4.4292 1.4818 4.4210
1.4818 7.3683 1.4655
7.3602 4.4128 4.4210
1.4818 4.4210 4.4292
1.4655 1.4818 7.3683
-1.4655 4.4128 7.3683
4.4210 7.3602 4.4128
4.4128 4.4210 7.3602
```

space group	I4_132, No. 214
formation energy without anion corrections	-1.902	eV/atom
energy	-25.225	eV per atom
crystal system	cubic

Here is a PBEsol-optimized structure of LaSi2Cl from Alexandria. Energies are from meta-GGA SCAN.

```
LaSi2Cl
1.0
3.8286 0.0000 0.0000
0.0000 3.8286 0.0000
0.0000 0.0000 5.6965
La Si Cl
1 2 1
Cartesian
0.0000 0.0000 0.0000
0.0000 1.9143 2.8482
1.9143 0.0000 2.8482
1.9143 1.9143 0.0000
```

offset from the most stable computed form	150	meV/atom
space group	P4/mmm, No. 123
formation energy without anion corrections	-0.592	eV/atom
energy	-18.371	eV per atom
crystal system	tetragonal

Here is a PBEsol-optimized structure of LaSiCl2 from Alexandria. Energies are from meta-GGA SCAN.

```
LaSiCl2
1.0
-2.2227 2.2227 4.4037
2.2227 -2.2227 4.4037
2.2227 2.2227 -4.4037
La Si Cl
1 1 2
Cartesian
0.0000 0.0000 0.0000
0.0000 0.0000 4.4037
2.2227 0.0000 2.2019
0.0000 2.2227 2.2019
```

offset from the most stable computed form	73	meV/atom
space group	I4/mmm, No. 139
formation energy without anion corrections	-1.060	eV/atom
energy	-18.329	eV per atom
crystal system	tetragonal

Here is a PBEsol-optimized structure of LaSiCl2 from Alexandria. Energies are from meta-GGA SCAN.

```
LaSiCl2
1.0
3.6337 0.0000 0.0000
0.0000 4.4449 0.0000
0.0000 0.0000 5.4067
La Si Cl
1 1 2
Cartesian
0.0000 0.0000 0.0000
1.8168 0.0000 2.7033
0.0000 2.2225 2.7033
1.8168 2.2225 0.0000
```

offset from the most stable computed form	25	meV/atom
space group	Pmmm, No. 47
formation energy without anion corrections	-1.109	eV/atom
energy	-18.378	eV per atom
crystal system	orthorhombic